Compound: MnTe2F
Source: the Alexandria database
Functional: GGA+U
Structure: relaxed

a b c (Å): 6.8753 6.8753 6.8753
angles (deg): 90.00 90.00 90.00
Closest atoms and distances in Å follow each position.
Space group Fm-3m (No. 225)
Asymmetric unit:
Mn 0.0000 0.0000 0.0000  8 Te 2.98
Te 0.2500 0.2500 0.2500  4 Mn 2.98, 4 F 2.98
F 0.0000 0.0000 0.5000  8 Te 2.98

Computed properties:
The polymorph energy (0 for the lowest one) is 2.028 kcal/mol of atoms. As for the calculated volume: 20.312 Å³/atom.